[1]
## AgAsP2Os (PBE)

Data for crystalline AgAsP2Os at its relaxed geometry.

abc: 4.4448 4.4448 5.3507
angles: 90.00 90.00 90.00
Element x y z (fractional)
Ag  0.0000  0.0000  0.0000
As  0.5000  0.5000  0.0000
P  0.0000  0.5000  0.5000
P  0.5000  0.0000  0.5000
Os  0.0000  0.0000  0.5000

Output
Calculated total energy: -5.185 eV/atom
Symmetry: P4/mmm



[2]
## CeHo5Mg6 (PBE)

Data for crystalline CeHo5Mg6 at its relaxed geometry.

abc: 8.4570 8.4570 7.5529
angles: 90.00 90.00 143.10
Element x y z (fractional)
Ce  0.0000  0.0000  0.0000
Ho  0.0000  0.0000  0.5000
Ho  0.3330  0.6670  0.0000
Ho  0.3359  0.6641  0.5000
Ho  0.6641  0.3359  0.5000
Ho  0.6670  0.3330  0.0000
Mg  0.1685  0.8315  0.2525
Mg  0.1685  0.8315  0.7475
Mg  0.5000  0.5000  0.2513
Mg  0.5000  0.5000  0.7487
Mg  0.8315  0.1685  0.2525
Mg  0.8315  0.1685  0.7475

Output
Calculated total energy: -3.248 eV/atom
Symmetry: Cmmm



[3]
## MnZnCu (PBE)

Data for crystalline MnZnCu at its relaxed geometry.

abc: 4.5718 4.5718 4.5718
angles: 145.94 131.31 60.75
Element x y z (fractional)
Mn  0.0000  0.0000  0.0000
Zn  0.3318  0.3318  0.0000
Cu  0.6673  0.6673  0.0000

Output
Calculated total energy: -4.786 eV/atom
Symmetry: Imm2



[4]
## KLi2TlGe (PBE)

Data for crystalline KLi2TlGe at its relaxed geometry.

abc: 5.1243 5.1243 5.7163
angles: 90.00 90.00 90.00
Element x y z (fractional)
K  0.0000  0.0000  0.0000
Li  0.0000  0.5000  0.5000
Li  0.5000  0.0000  0.5000
Tl  0.5000  0.5000  0.0000
Ge  0.5000  0.5000  0.5000

Output
Calculated total energy: -2.482 eV/atom
Symmetry: P4/mmm



[5]
## Li2GaN (PBE)

Data for crystalline Li2GaN at its relaxed geometry.

abc: 5.4686 6.3817 5.7319
angles: 90.00 90.00 90.00
Element x y z (fractional)
Li  0.1263  0.0693  0.1367
Li  0.1263  0.4307  0.1367
Li  0.3737  0.5693  0.6367
Li  0.3737  0.9307  0.6367
Li  0.6263  0.0693  0.3633
Li  0.6263  0.4307  0.3633
Li  0.8737  0.5693  0.8633
Li  0.8737  0.9307  0.8633
Ga  0.0595  0.2500  0.5844
Ga  0.4405  0.7500  0.0844
Ga  0.5595  0.2500  0.9156
Ga  0.9405  0.7500  0.4156
N  0.0814  0.7500  0.0997
N  0.4186  0.2500  0.5997
N  0.5814  0.7500  0.4003
N  0.9186  0.2500  0.9003

Output
Symmetry: Pnma
ΔE_f (raw): -0.311 eV per atom



[6]
## LiZnIr2 (PBE)

Data for crystalline LiZnIr2 at its relaxed geometry.

abc: 8.7617 8.7617 8.7617
angles: 18.04 18.04 18.04
Element x y z (fractional)
Li  0.0000  0.0000  0.0000
Zn  0.5000  0.5000  0.5000
Ir  0.2485  0.2485  0.2485
Ir  0.7515  0.7515  0.7515

Output
Calculated total energy: -5.347 eV/atom
Symmetry: R-3m



[7]
## LaH3Pt (PBE)

Data for crystalline LaH3Pt at its relaxed geometry.

abc: 4.5012 4.5819 7.6022
angles: 72.93 87.55 60.90
Element x y z (fractional)
La  0.2289  0.0092  0.2435
La  0.7711  0.9908  0.7565
H  0.2585  0.5880  0.6025
H  0.2601  0.0627  0.5834
H  0.2843  0.9417  0.9238
H  0.7157  0.0583  0.0762
H  0.7399  0.9373  0.4166
H  0.7415  0.4120  0.3975
Pt  0.0000  0.5000  0.5000
Pt  0.5000  0.5000  0.0000

Output
Calculated total energy: -4.821 eV/atom
Symmetry: P-1



[8]
## LiCrCl2 (PBE)

Data for crystalline LiCrCl2 at its relaxed geometry.

abc: 7.7300 7.7300 7.7300
angles: 27.65 27.65 27.65
Element x y z (fractional)
Li  0.0000  0.0000  0.0000
Cr  0.5000  0.5000  0.5000
Cl  0.3960  0.3960  0.3960
Cl  0.6040  0.6040  0.6040

Output
Symmetry: R-3m
ΔE_f (raw): -0.891 eV per atom



Sequential density output: 6.833; 5.686; 7.671; 3.651; 3.241; 13.460; 8.608; 2.455 g/cm³